# 1
A plane-wave DFT calculation with PBE was carried out for a relaxed structure of Na2CoCuRu.

Lattice parameters (Å, degrees): 4.745 4.745 4.779 90.00 90.00 90.00
Space group P4/mmm (No. 123)
Inequivalent atoms, fractional coordinates:
1 Na 0.000 0.500 0.000 (multiplicity 2)
2 Co 0.000 0.000 0.500 (multiplicity 1)
3 Cu 0.500 0.500 0.000 (multiplicity 1)
4 Ru 0.500 0.500 0.500 (multiplicity 1)

Computed properties:
density of states at the Fermi level	0.9654	states/eV per atom

---

# 2
A plane-wave DFT calculation with PBE was carried out for a relaxed structure of Na2YCoCu.

Lattice parameters (Å, degrees): 6.207 6.207 4.982 90.00 90.00 90.00
Space group P4/mmm (No. 123)
Inequivalent atoms, fractional coordinates:
1 Na 0.000 0.500 0.000 (multiplicity 2)
2 Y 0.000 0.000 0.000 (multiplicity 1)
3 Co 0.500 0.500 0.500 (multiplicity 1)
4 Cu 0.000 0.000 0.500 (multiplicity 1)

Computed properties:
density of states at the Fermi level	1.0300	states/eV per atom

---

# 3
A plane-wave DFT calculation with PBE was carried out for a relaxed structure of NbCoCu3.

Lattice parameters (Å, degrees): 4.304 4.304 4.304 90.00 90.00 90.00
Space group Pm-3m (No. 221)
Inequivalent atoms, fractional coordinates:
1 Nb 0.000 0.000 0.000 (multiplicity 1)
2 Co 0.500 0.500 0.500 (multiplicity 1)
3 Cu 0.000 0.500 0.500 (multiplicity 3)

Computed properties:
energy relative to the lowest polymorph listed for this composition	0	meV per atom
density of states at the Fermi level	1.4343	states/eV per atom

---

# 4
A plane-wave DFT calculation with PBE was carried out for a relaxed structure of Nb2CoCu2.

Lattice parameters (Å, degrees): 6.451 6.451 3.510 90.00 90.00 90.00
Space group P4/mbm (No. 127)
Inequivalent atoms, fractional coordinates:
1 Nb 0.175 0.325 0.000 (multiplicity 4)
2 Co 0.000 0.000 0.500 (multiplicity 2)
3 Cu 0.130 0.630 0.500 (multiplicity 4)

Computed properties:
density of states at the Fermi level	1.3451	states/eV per atom

---

# 5
A plane-wave DFT calculation with PBE was carried out for a relaxed structure of NbCoCu4.

Lattice parameters (Å, degrees): 6.737 6.737 6.737 90.00 90.00 90.00
Space group F-43m (No. 216)
Inequivalent atoms, fractional coordinates:
1 Nb 0.000 0.000 0.000 (multiplicity 4)
2 Co 0.250 0.250 0.250 (multiplicity 4)
3 Cu 0.124 0.124 0.624 (multiplicity 16)

Computed properties:
density of states at the Fermi level	0.4283	states/eV per atom

---

# 6
A plane-wave DFT calculation with PBE was carried out for a relaxed structure of Nb2Co2Cu.

Lattice parameters (Å, degrees): 6.858 6.858 3.032 90.00 90.00 90.00
Space group P4/mbm (No. 127)
Inequivalent atoms, fractional coordinates:
1 Nb 0.173 0.327 0.000 (multiplicity 4)
2 Co 0.130 0.630 0.500 (multiplicity 4)
3 Cu 0.000 0.000 0.500 (multiplicity 2)

Computed properties:
energy relative to the lowest polymorph listed for this composition	0	meV per atom
density of states at the Fermi level	1.3423	states/eV per atom

---

# 7
A plane-wave DFT calculation with PBE was carried out for a relaxed structure of NbCoCu.

Lattice parameters (Å, degrees): 4.2526 4.2526 2.6159 90.00 90.00 120.00
Space group P3m1 (No. 156)
Inequivalent atoms, fractional coordinates:
1 Nb 0.0000 0.0000 0.0000 (multiplicity 1)
2 Co 0.3333 0.6667 0.3865 (multiplicity 1)
3 Cu 0.6667 0.3333 0.5226 (multiplicity 1)

Computed properties:
energy relative to the lowest polymorph listed for this composition	55	meV per atom
density of states at the Fermi level	0.9828	states/eV per atom

---

# 8
A plane-wave DFT calculation with PBE was carried out for a relaxed structure of NbCoCu2.

Lattice parameters (Å, degrees): 6.875 6.875 4.799 90.00 90.00 90.00
Space group I-42d (No. 122)
Inequivalent atoms, fractional coordinates:
1 Nb 0.000 0.000 0.000 (multiplicity 4)
2 Co 0.000 0.000 0.500 (multiplicity 4)
3 Cu 0.219 0.750 0.625 (multiplicity 8)

Computed properties:
energy relative to the lowest polymorph listed for this composition	329	meV per atom
density of states at the Fermi level	1.4223	states/eV per atom

---

# 9
A plane-wave DFT calculation with PBE was carried out for a relaxed structure of NbCoCu.

Lattice parameters (Å, degrees): 3.189 3.189 8.094 90.00 90.00 90.00
Space group I4mm (No. 107)
Inequivalent atoms, fractional coordinates:
1 Nb 0.000 0.000 0.000 (multiplicity 2)
2 Co 0.000 0.000 0.347 (multiplicity 2)
3 Cu 0.000 0.000 0.680 (multiplicity 2)

Computed properties:
energy relative to the lowest polymorph listed for this composition	0	meV per atom
density of states at the Fermi level	0.8527	states/eV per atom

---

# 10
A plane-wave DFT calculation with PBE was carried out for a relaxed structure of NbCoCu2.

Lattice parameters (Å, degrees): 5.976 5.976 5.976 90.00 90.00 90.00
Space group Fm-3m (No. 225)
Inequivalent atoms, fractional coordinates:
1 Nb 0.000 0.000 0.000 (multiplicity 4)
2 Co 0.000 0.000 0.500 (multiplicity 4)
3 Cu 0.250 0.250 0.250 (multiplicity 8)

Computed properties:
energy relative to the lowest polymorph listed for this composition	0	meV per atom
density of states at the Fermi level	0.8903	states/eV per atom

---

# 11
A plane-wave DFT calculation with PBE was carried out for a relaxed structure of Nb3CoCu.

Lattice parameters (Å, degrees): 4.603 4.603 4.603 90.00 90.00 90.00
Space group Pm-3m (No. 221)
Inequivalent atoms, fractional coordinates:
1 Nb 0.000 0.000 0.500 (multiplicity 3)
2 Co 0.500 0.500 0.500 (multiplicity 1)
3 Cu 0.000 0.000 0.000 (multiplicity 1)

Computed properties:
energy relative to the lowest polymorph listed for this composition	638	meV per atom
density of states at the Fermi level	1.4616	states/eV per atom

---

# 12
A plane-wave DFT calculation with PBE was carried out for a relaxed structure of Nb2Co3Cu.

Lattice parameters (Å, degrees): 11.142 7.001 4.461 90.00 90.00 90.00
Space group Cmcm (No. 63)
Inequivalent atoms, fractional coordinates:
1 Nb 0.138 0.183 0.250 (multiplicity 8)
2 Co 0.000 0.086 0.750 (multiplicity 4)
3 Co 0.198 0.500 0.000 (multiplicity 8)
4 Cu 0.000 0.426 0.750 (multiplicity 4)

Computed properties:
density of states at the Fermi level	0.9569	states/eV per atom

---

Number 1: formation energy from the elements 1.36 eV/atom, magnetization 3.7 μB per cell, DFT total energy -3.2640 eV per atom. Number 2: formation energy from the elements 1.58 eV/atom, magnetization 2.1 μB per cell, DFT total energy -2.4785 eV per atom. Number 3: formation energy from the elements 1.03 eV/atom, magnetization 3.4 μB per cell, DFT total energy -4.8608 eV per atom. Number 4: formation energy from the elements 0.25 eV/atom, magnetization 0.0 μB per cell, DFT total energy -6.8418 eV per atom. Number 5: formation energy from the elements 0.10 eV/atom, magnetization 0.9 μB per cell, DFT total energy -5.4961 eV per atom. Number 6: formation energy from the elements -0.05 eV/atom, magnetization 0.0 μB per cell, DFT total energy -7.7372 eV per atom. Number 7: formation energy from the elements 0.05 eV/atom, magnetization 0.9 μB per cell, DFT total energy -7.0387 eV per atom. Number 8: formation energy from the elements 0.53 eV/atom, magnetization 0.0 μB per cell, DFT total energy -5.8109 eV per atom. Number 9: formation energy from the elements 0.00 eV/atom, magnetization 0.0 μB per cell, DFT total energy -7.0934 eV per atom. Number 10: formation energy from the elements 0.20 eV/atom, magnetization 5.3 μB per cell, DFT total energy -6.1398 eV per atom. Number 11: formation energy from the elements 1.47 eV/atom, magnetization 0.0 μB per cell, DFT total energy -6.8145 eV per atom. Number 12: formation energy from the elements 0.25 eV/atom, magnetization 3.4 μB per cell, DFT total energy -7.3424 eV per atom.